Material: TcAsPt2
Method: DFT, PBE
State: optimized geometry

a = 4.9126 Å, b = 6.0504 Å, c = 2.8273 Å
α = 62.21°, β = 89.97°, γ = 118.79°
Closest atoms and distances in Å follow each position.
Fractional positions:
Pt 0.0000 0.5000 0.5000  4 Pt 2.68-2.83, 4 As 2.83, 4 Tc 2.83
Pt 0.0000 0.0000 0.0000  4 Pt 2.68-2.83, 4 Tc 2.83, 4 As 2.83
As 0.5000 0.0000 0.5000  2 Tc 2.68, 2 As 2.83, 8 Pt 2.83
Tc 0.5000 0.5000 0.0000  2 As 2.68, 2 Tc 2.83, 8 Pt 2.83

Results
Uncorrected energy, Ry/atom: -0.49623
D(E_F), states/eV/atom: 0.756